1.
Nb2CuW | Alexandria via LeMat-Bulk | GGA-PBE | relaxed; symmetry = No. 122
1.0
-0.7247 -1.9059 -6.8898
3.4746 -6.1460 1.3346
-0.9669 -5.2244 -2.1998
Nb Cu W
4 2 2
direct
0.6133 0.1250 0.2500 Nb
0.1367 0.6250 0.2500 Nb
0.3750 0.3867 0.7500 Nb
0.8750 0.8633 0.7500 Nb
0.5000 0.5000 0.0000 Cu
0.2500 0.7500 0.5000 Cu
0.0000 0.0000 0.0000 W
0.7500 0.2500 0.5000 W

2.
Nb2CuW | Alexandria via LeMat-Bulk | GGA-PBE | relaxed; symmetry = No. 123
1.0
3.2901 0.0000 0.0000
0.0000 3.2901 0.0000
0.0000 0.0000 6.0275
Nb Cu W
2 1 1
direct
0.0000 0.0000 0.7538 Nb
0.0000 0.0000 0.2462 Nb
0.5000 0.5000 0.0000 Cu
0.5000 0.5000 0.5000 W

3.
NbCuW2 | Alexandria via LeMat-Bulk | GGA-PBE | relaxed; symmetry = No. 225
1.0
-0.0450 -3.3956 2.9064
1.9193 0.4648 4.0099
-2.5322 0.2378 3.6757
Nb Cu W
1 1 2
direct
0.5000 0.5000 0.5000 Nb
0.0000 0.0000 0.0000 Cu
0.2500 0.2500 0.2500 W
0.7500 0.7500 0.7500 W

4.
Nb3CuW | Alexandria via LeMat-Bulk | GGA-PBE | relaxed; symmetry = No. 221
1.0
4.6014 0.0000 0.0000
0.0000 4.6014 0.0000
0.0000 0.0000 4.6014
Nb Cu W
3 1 1
direct
0.0000 0.5000 0.0000 Nb
0.0000 0.0000 0.5000 Nb
0.5000 0.0000 0.0000 Nb
0.0000 0.0000 0.0000 Cu
0.5000 0.5000 0.5000 W

5.
Nb2Cu2W | Alexandria via LeMat-Bulk | GGA-PBE | relaxed; symmetry = No. 127
1.0
6.8601 0.0000 0.0000
0.0000 6.8601 0.0000
0.0000 0.0000 3.2924
Nb Cu W
4 4 2
direct
0.1808 0.6808 0.5000 Nb
0.6808 0.8192 0.5000 Nb
0.8192 0.3192 0.5000 Nb
0.3192 0.1808 0.5000 Nb
0.3796 0.8796 0.0000 Cu
0.8796 0.6204 0.0000 Cu
0.6204 0.1204 0.0000 Cu
0.1204 0.3796 0.0000 Cu
0.0000 0.0000 0.0000 W
0.5000 0.5000 0.0000 W

6.
Nb2CuW | Alexandria via LeMat-Bulk | GGA-PBE | relaxed; symmetry = No. 166
1.0
-1.1344 -0.0062 -2.9024
1.9052 -0.4913 -2.4165
-1.1187 -8.2288 -1.2180
Nb Cu W
2 1 1
direct
0.2493 0.2493 0.2522 Nb
0.7507 0.7507 0.7478 Nb
0.0000 0.0000 0.0000 Cu
0.5000 0.5000 0.5000 W

How do the records compare in E_form? In the order shown, they have 0.6654; 0.0551; 0.4417; 1.3723; 0.2672; 0.3729 eV/atom.